This record from Alexandria via LeMat-Bulk describes a relaxed structure of Ni2HPdI. The functional is GGA-PBEsol.

Cell lengths 4.620, 4.620, 4.980 Å; angles 90.00, 90.00, 90.00 degrees
Space group P4/mmm (No. 123)
Inequivalent atoms, fractional coordinates:
Ni 0.000 0.500 0.000 [2 per cell]
H 0.000 0.000 0.500 [1 per cell]
Pd 0.500 0.500 0.500 [1 per cell]
I 0.500 0.500 0.000 [1 per cell]

Values from the calculation:
Raw total energy: -3.22 eV per atom
M_tot: 0.3481 μB/atom

This record from Alexandria via LeMat-Bulk describes a relaxed structure of TiCrGe2P. The functional is GGA-PBEsol.

Cell lengths 4.598, 4.598, 4.258 Å; angles 90.00, 90.00, 90.00 degrees
Space group P4/mmm (No. 123)
Inequivalent atoms, fractional coordinates:
Ti 0.000 0.000 0.000 [1 per cell]
Cr 0.500 0.500 0.500 [1 per cell]
Ge 0.000 0.500 0.500 [2 per cell]
P 0.500 0.500 0.000 [1 per cell]

Values from the calculation:
M_tot: 0.5044 μB/atom
Formation energy: 480.4 meV/atom

This record from Alexandria via LeMat-Bulk describes a relaxed structure of Cr2FeRe. The functional is GGA-PBEsol.

Cell lengths 2.872, 4.102, 8.023 Å; angles 90.00, 90.00, 90.00 degrees
Space group Imm2 (No. 44)
Inequivalent atoms, fractional coordinates:
Cr 0.000 0.000 0.000 [2 per cell]
Cr 0.000 0.500 0.276 [2 per cell]
Fe 0.000 0.000 0.522 [2 per cell]
Re 0.000 0.500 0.755 [2 per cell]

Values from the calculation:
M_tot: 0.0001 μB/atom
Formation energy: 131.0 meV/atom

This record from Alexandria via LeMat-Bulk describes a relaxed structure of LiTa2F. The functional is GGA-PBEsol.

Cell lengths 6.045, 6.045, 6.045 Å; angles 90.00, 90.00, 90.00 degrees
Space group Fm-3m (No. 225)
Inequivalent atoms, fractional coordinates:
Li 0.000 0.000 0.000 [4 per cell]
Ta 0.250 0.250 0.250 [8 per cell]
F 0.000 0.000 0.500 [4 per cell]

Values from the calculation:
Raw total energy: -6.76 eV per atom
M_tot: 0.0001 μB/atom

This record from Alexandria via LeMat-Bulk describes a relaxed structure of Ta3AlP. The functional is GGA-PBEsol.

Cell lengths 4.548, 4.548, 4.548 Å; angles 90.00, 90.00, 90.00 degrees
Space group Pm-3m (No. 221)
Inequivalent atoms, fractional coordinates:
Ta 0.000 0.000 0.500 [3 per cell]
Al 0.500 0.500 0.500 [1 per cell]
P 0.000 0.000 0.000 [1 per cell]

Values from the calculation:
M_tot: 0.0004 μB/atom
Formation energy: 391.0 meV/atom

This record from Alexandria via LeMat-Bulk describes a relaxed structure of HfGa3Si. The functional is GGA-PBEsol.

Cell lengths 4.631, 4.631, 4.631 Å; angles 90.00, 90.00, 90.00 degrees
Space group Pm-3m (No. 221)
Inequivalent atoms, fractional coordinates:
Hf 0.000 0.000 0.000 [1 per cell]
Ga 0.000 0.500 0.500 [3 per cell]
Si 0.500 0.500 0.500 [1 per cell]

Values from the calculation:
Raw total energy: -4.68 eV per atom
M_tot: 0.0000 μB/atom

This record from Alexandria via LeMat-Bulk describes a relaxed structure of Sr6Nb7O21. The functional is GGA-PBEsol.

Cell lengths 15.0726, 15.0726, 6.9773 Å; angles 90.00, 90.00, 120.00 degrees
Space group R-3 (No. 148, hexagonal axes)
Inequivalent atoms, fractional coordinates:
Sr 0.0462 0.8119 0.1708 [18 per cell]
Nb 0.0000 0.0000 0.0000 [3 per cell]
Nb 0.0472 0.8104 0.6668 [18 per cell]
O 0.0000 0.5000 0.5000 [9 per cell]
O 0.0249 0.4040 0.8282 [18 per cell]
O 0.0261 0.9034 0.8413 [18 per cell]
O 0.0751 0.2219 0.4967 [18 per cell]

Values from the calculation:
Raw total energy: -8.61 eV per atom
M_tot: 0.0000 μB/atom

This record from Alexandria via LeMat-Bulk describes a relaxed structure of KTi3Sb. The functional is GGA-PBEsol.

Cell lengths 5.166, 5.166, 5.166 Å; angles 90.00, 90.00, 90.00 degrees
Space group Pm-3m (No. 221)
Inequivalent atoms, fractional coordinates:
K 0.000 0.000 0.000 [1 per cell]
Ti 0.000 0.500 0.500 [3 per cell]
Sb 0.500 0.500 0.500 [1 per cell]

Values from the calculation:
Raw total energy: -5.12 eV per atom
M_tot: 0.1077 μB/atom

This record from Alexandria via LeMat-Bulk describes a relaxed structure of Tl3In. The functional is GGA-PBEsol.

Cell lengths 3.300, 5.303, 6.408 Å; angles 90.00, 101.25, 90.00 degrees
Space group P2/m (No. 10)
Inequivalent atoms, fractional coordinates:
Tl 0.000 0.000 0.000 [1 per cell]
Tl 0.297 0.500 0.744 [2 per cell]
In 0.500 0.000 0.500 [1 per cell]

Values from the calculation:
M_tot: 0.0000 μB/atom
Formation energy: 8.9 meV/atom

This record from Alexandria via LeMat-Bulk describes a relaxed structure of LaFe2Te. The functional is GGA-PBEsol.

Cell lengths 4.092, 4.261, 5.078 Å; angles 90.00, 90.00, 90.00 degrees
Space group Pmmm (No. 47)
Inequivalent atoms, fractional coordinates:
La 0.000 0.000 0.000 [1 per cell]
Fe 0.500 0.500 0.217 [2 per cell]
Te 0.500 0.000 0.500 [1 per cell]

Values from the calculation:
Raw total energy: -6.68 eV per atom
M_tot: 0.9999 μB/atom